Here is an optimized crystal structure of YTlPt3 from the Alexandria database. Energies are from PBE.

Values from the calculation:
- magnetization (μB/atom) = 0.000
- energy of formation (kJ per mole of atoms) = 60.6
- energy relative to the lowest polymorph listed for this composition (kcal/mol of atoms) = 5.43
- density of states at the Fermi level (states/eV per cell) = 4.51
- E_tot (eV per atom) = -4.762

Lattice parameters (Å, degrees): 5.221 5.221 5.221 90.00 90.00 90.00
Space group Pm-3m (No. 221)
Symmetry-distinct sites (fractional):
Y: 0.000 0.000 0.000 x1
Tl: 0.500 0.500 0.500 x1
Pt: 0.000 0.000 0.500 x3